[1]
## CrTcW2 (SCAN)

Data for a crystal of CrTcW2 relaxed with PBEsol.

Cell and atoms, written as POSCAR:
```
CrTcW2
1.0
-1.303 -2.353 -1.467
3.490 -2.379 0.715
-1.716 -1.389 3.753
Cr W Tc
1 2 1
direct
0.500 0.500 0.000 Cr
0.500 0.000 0.500 W
0.000 0.000 0.000 W
0.000 0.500 0.500 Tc
```

Space-group type: Pmmm (47)
Relative energy among the computed polymorphs in eV/atom: 0.032
Energy of formation from the pure elements in meV per atom: 50

[2]
## MgFeHg (SCAN)

Data for a crystal of MgFeHg relaxed with PBEsol.

Cell and atoms, written as POSCAR:
```
MgFeHg
1.0
4.365 0.000 0.000
2.182 3.780 0.000
2.182 1.260 3.564
Hg Mg Fe
1 1 1
direct
0.000 0.000 0.000 Hg
0.500 0.500 0.500 Mg
0.250 0.250 0.250 Fe
```

Space-group type: F-43m (216)
Relative energy among the computed polymorphs in eV/atom: 0.129
Energy of formation from the pure elements in meV per atom: 297

[3]
## LaTeAsI2 (SCAN)

Data for a crystal of LaTeAsI2 relaxed with PBEsol.

Cell and atoms, written as POSCAR:
```
LaTeAsI2
1.0
-5.234 2.479 1.906
0.367 -3.203 5.174
3.197 4.690 2.677
As La I Te
1 1 2 1
direct
0.500 0.500 0.500 As
0.000 0.000 0.000 La
0.000 0.500 0.000 I
0.500 0.000 0.000 I
0.000 0.000 0.500 Te
```

Space-group type: P4/mmm (123)
Formation energy from raw total energies in kJ/mol of formula units: -169

[4]
## Sr2TlCu (SCAN)

Data for a crystal of Sr2TlCu relaxed with PBEsol.

Cell and atoms, written as POSCAR:
```
Sr2TlCu
1.0
5.241 0.000 0.000
2.620 4.538 0.000
2.620 1.513 4.279
Sr Tl Cu
2 1 1
direct
0.000 0.000 0.000 Sr
0.750 0.750 0.750 Sr
0.250 0.250 0.250 Tl
0.500 0.500 0.500 Cu
```

Space-group type: F-43m (216)
Energy of formation from the pure elements in meV per atom: -76

VASP energy in eV/cell, matching the order above: -192.6, -90.4, -175.8, -132.4
Total magnetic moment in μB per atom, matching the order above: 0.20, 0.93, 0.40, 0.00